Here is a geometry-optimized BeSi2 structure from Alexandria via LeMat-Bulk. Energies are from GGA-PBE.

For the excess energy over the best structure of this formula in the dataset, the calculation gives 26 meV/atom. The value obtained for the raw total energy is -27.45 eV/cell. For the formation energy from raw total energies, the calculation gives 283 meV/atom.

The space group is P-1 (No. 2) and the conventional cell measures 4.179, 4.777 and 5.009 Å, with angles of 106.85, 102.82 and 100.73 degrees. Symmetry generates all atoms from Be at (0.057, 0.257, 0.017), Si at (0.295, 0.114, 0.401) and Si at (0.333, 0.551, 0.790).